# K2AlIr PBE relaxed
data_K2AlIr
_chemical_formula_sum 'K2 Al1 Ir1'
_space_group_name_H-M_alt 'P 1'
_space_group_IT_number 1
_cell_length_a 4.228
_cell_length_b 4.228
_cell_length_c 9.497
_cell_angle_alpha 78.95
_cell_angle_beta 78.95
_cell_angle_gamma 59.95
loop_
_space_group_symop_operation_xyz
'x,y,z'
loop_
_atom_site_label
_atom_site_fract_x
_atom_site_fract_y
_atom_site_fract_z
_atom_site_occupancy
Al1 0.542 0.542 0.375 1
K1 0.800 0.800 0.639 1
Ir1 0.208 0.208 0.375 1
K2 0.950 0.950 0.111 1
# VASP energy (eV/atom): -3.706
# Magnetization (μB/cell): 0.000